Entry 1:
# Ti4InPd4

A relaxed Ti4InPd4 crystal (GGA-PBE, the Alexandria database).

Geometry as POSCAR:
```
Ti4InPd4
1.0
6.668 0.000 0.000
0.000 6.668 0.000
0.000 0.000 7.864
Ti In Pd
8 2 8
Cartesian
0.061 5.001 0.774 Ti
1.667 3.395 3.158 Ti
1.667 6.607 3.158 Ti
3.273 5.001 0.774 Ti
3.395 1.667 7.090 Ti
5.001 0.061 4.706 Ti
5.001 3.273 4.706 Ti
6.607 1.667 7.090 Ti
1.667 5.001 5.898 In
5.001 1.667 1.966 In
0.309 1.667 4.614 Pd
1.667 0.309 0.682 Pd
1.667 3.025 0.682 Pd
3.025 1.667 4.614 Pd
3.643 5.001 3.250 Pd
5.001 3.643 7.182 Pd
5.001 6.359 7.182 Pd
6.359 5.001 3.250 Pd
```

Summary:
Theoretical density = 6.95 g cm⁻³
Symmetry = P4_2/nmc
N(E_F) = 18.6 states/eV per cell
Formation energy from the elements = -0.128 eV per atom



Entry 2:
# Li6PmZn6

A relaxed Li6PmZn6 crystal (GGA-PBE, the Alexandria database).

Geometry as POSCAR:
```
Li6PmZn6
1.0
-2.583 4.583 4.632
2.583 -4.583 4.632
2.583 4.583 -4.632
Li Pm Zn
6 1 6
Cartesian
2.583 1.317 0.000 Li
0.000 0.000 1.419 Li
0.000 2.665 0.000 Li
0.000 6.502 0.000 Li
0.000 0.000 7.844 Li
0.000 3.266 4.632 Li
0.000 0.000 4.632 Pm
1.292 2.292 -2.316 Zn
1.292 -2.292 2.316 Zn
2.583 0.000 2.650 Zn
-1.292 2.292 2.316 Zn
1.292 2.292 2.316 Zn
0.000 4.583 1.982 Zn
```

Summary:
Theoretical density = 4.38 g cm⁻³
Symmetry = Immm
N(E_F) = 5.7 states/eV per cell
Formation energy from the elements = -0.198 eV per atom



- The lowest formation energy from the elements belongs to which entry?
  Li6PmZn6



- Among the records above, which one has the lowest formation energy from the elements?
  Li6PmZn6